(1)
Below is a relaxed Ba6IrCl crystal, with properties calculated at the PBE level.

abc: 7.929 7.925 8.839
angles: 63.39 63.44 60.02
Fractional positions:
Ba1 0.079 0.395 0.763
Ba2 0.761 0.078 0.764
Ba3 0.605 0.239 0.236
Ba4 0.239 0.922 0.236
Ba5 0.921 0.605 0.237
Ba6 0.395 0.761 0.764
Ir1 0.000 0.000 0.000
Cl1 0.500 0.500 0.500

Space-group type   P-1
Uncorrected formation energy   -0.55 eV/atom

***

(2)
Below is a relaxed Y2ZrSnF crystal, with properties calculated at the PBE level.

abc: 5.807 5.429 5.807
angles: 90.00 90.00 90.00
Site moments in Bohr magnetons follow the coordinates.
Fractional positions:
Y1 0.000 0.000 0.500  0.44
Y2 0.500 0.000 0.000  0.33
Sn1 0.000 0.000 0.000  0.01
Zr1 0.000 0.500 0.000  1.26
F1 0.500 0.500 0.500  0.07

Space-group type   P4/mmm
Uncorrected formation energy   0.27 eV/atom

***

(3)
Below is a relaxed TbGdSiNi crystal, with properties calculated at the PBE level.

abc: 4.922 4.922 4.922
angles: 60.00 60.00 60.00
Site moments in Bohr magnetons follow the coordinates.
Fractional positions:
Ni1 0.250 0.250 0.250  -0.01
Si1 0.750 0.750 0.750  -0.03
Gd1 0.500 0.500 0.500  7.00
Tb1 0.000 0.000 0.000  0.03

Space-group type   F-43m
Uncorrected formation energy   -0.46 eV/atom

***

Look up the uncorrected formation energy of the third one. -0.46 eV/atom

***

What is the uncorrected formation energy in the first record? -0.55 eV/atom

***

Repeat the second record exactly.
Below is a relaxed Y2ZrSnF crystal, with properties calculated at the PBE level.

abc: 5.807 5.429 5.807
angles: 90.00 90.00 90.00
Site moments in Bohr magnetons follow the coordinates.
Fractional positions:
Y1 0.000 0.000 0.500  0.44
Y2 0.500 0.000 0.000  0.33
Sn1 0.000 0.000 0.000  0.01
Zr1 0.000 0.500 0.000  1.26
F1 0.500 0.500 0.500  0.07

Space-group type   P4/mmm
Uncorrected formation energy   0.27 eV/atom

***

What is the uncorrected formation energy in the third record? -0.46 eV/atom